{"formula": "Y2NbFeSi2", "functional": "PBE-GGA", "state": "optimized geometry", "space_group": "No. 115", "total_energy_ev_per_cell": -45.57, "lattice_angstrom": [[3.9487, 0.0000, 0.0000], [0.0000, 3.9487, 0.0000], [0.0000, 0.0000, 7.4577]], "species": ["Y", "Y", "Nb", "Si", "Si", "Fe"], "fractional_positions": [[0.5000, 0.0000, 0.3479], [0.0000, 0.5000, 0.6521], [0.5000, 0.5000, 0.0000], [0.0000, 0.5000, 0.2263], [0.5000, 0.0000, 0.7737], [0.0000, 0.0000, 0.0000]]}